Entry 1:
Density functional theory data (GGA-PBE) for a relaxed structure of Si2Ni2As.

Geometry as POSCAR:
```
Si2Ni2As
1.0
7.0308 0.0000 0.0000
0.0000 7.0308 0.0000
0.0000 0.0000 2.6579
Si Ni As
4 4 2
Cartesian
1.0701 2.4453 0.0000
2.4453 5.9607 0.0000
4.5855 1.0701 0.0000
5.9607 4.5855 0.0000
0.9667 4.4822 1.3290
2.5487 0.9667 1.3290
4.4822 6.0641 1.3290
6.0641 2.5487 1.3290
0.0000 0.0000 1.3290
3.5154 3.5154 1.3290
```

Output
The energy above the most stable polymorph in this dataset comes out at 19 meV per atom. Its formation energy without anion corrections is -45 kJ/mol of formula units. Its space group is P4/mbm, No. 127. The theoretical density is 6.3 g cm⁻³.

=====

Entry 2:
Density functional theory data (GGA-PBE) for a relaxed structure of LiTl3Cr.

Geometry as POSCAR:
```
LiTl3Cr
1.0
5.2736 0.0000 0.0000
0.0000 5.2736 0.0000
0.0000 0.0000 5.2736
Li Tl Cr
1 3 1
Cartesian
0.0000 0.0000 0.0000
0.0000 2.6368 2.6368
2.6368 0.0000 2.6368
2.6368 2.6368 0.0000
2.6368 2.6368 2.6368
```

Output
As for the formation energy: 0.404 eV/atom. The energy above the most stable polymorph in this dataset comes out at 0 meV per atom. Its space group is Pm-3m, No. 221. The theoretical density is 7.6 g cm⁻³.

=====

Entry 3:
Density functional theory data (GGA-PBE) for a relaxed structure of NaNbO2.

Geometry as POSCAR:
```
NaNbO2
1.0
2.9855 0.0000 0.0000
-1.4928 2.5855 0.0000
0.0000 0.0000 17.7074
Na Nb O
3 3 6
Cartesian
0.0000 0.0000 0.0000
0.0000 1.7237 11.8050
1.4928 0.8618 5.9025
0.0000 0.0000 8.8537
0.0000 1.7237 2.9512
1.4928 0.8618 14.7562
0.0000 0.0000 4.3082
0.0000 0.0000 13.3992
0.0000 1.7237 7.4967
0.0000 1.7237 16.1132
1.4928 0.8618 1.5943
1.4928 0.8618 10.2107
```

Output
Its formation energy without anion corrections is -771 kJ/mol of formula units. Its space group is R-3m, No. 166. The theoretical density is 5.4 g cm⁻³.

=====

Number 1 is which compound?
Si2Ni2As

=====

Which value of theoretical density does entry 1 give?
6.3 g cm⁻³